Material: Ti6Sb3Pb
Method: DFT, GGA-PBE
State: relaxed

Calculated values
ΔE_f (raw) = -225 meV/atom

a b c (Å): 7.042 7.940 7.940
angles (deg): 111.46 90.00 90.00
Positions (direct):
1 Ti 0.119 0.766 0.633
2 Ti 0.619 0.633 0.766
3 Ti 0.298 0.536 0.953
4 Ti 0.798 0.953 0.536
5 Ti 0.270 0.958 0.042
6 Ti 0.592 0.271 0.729
7 Ti 0.092 0.729 0.271
8 Ti 0.770 0.042 0.958
9 Ti 0.298 0.047 0.464
10 Ti 0.798 0.464 0.047
11 Ti 0.119 0.367 0.234
12 Ti 0.619 0.234 0.367
13 Sb 0.465 0.923 0.709
14 Sb 0.965 0.709 0.923
15 Sb 0.309 0.433 0.567
16 Sb 0.809 0.567 0.433
17 Sb 0.965 0.077 0.291
18 Sb 0.465 0.291 0.077
19 Pb 0.051 0.196 0.804
20 Pb 0.551 0.804 0.196

---

Material: Tm8Ag2Ir
Method: DFT, GGA-PBE
State: relaxed

Calculated values
energy relative to the elements = -30 kJ per mole of atoms

a b c (Å): 5.125 6.751 8.994
angles (deg): 107.31 106.55 90.00
Positions (direct):
1 Tm 0.409 0.569 0.819
2 Tm 0.660 0.969 0.321
3 Tm 0.800 0.691 0.599
4 Tm 0.973 0.208 0.945
5 Tm 0.200 0.309 0.401
6 Tm 0.340 0.031 0.679
7 Tm 0.591 0.431 0.181
8 Tm 0.027 0.792 0.055
9 Ag 0.817 0.285 0.635
10 Ag 0.183 0.715 0.365
11 Ir 0.500 0.000 0.000

---

Material: SmErMn
Method: DFT, GGA-PBE
State: relaxed

Calculated values
energy relative to the elements = 16 kJ per mole of atoms

a b c (Å): 4.964 3.510 13.685
angles (deg): 104.87 90.00 135.00
Site moments in Bohr magnetons follow the coordinates.
Positions (direct):
1 Sm 0.630 0.260 0.881  -0.19
2 Sm 0.370 0.740 0.119  -0.19
3 Mn 0.988 0.976 0.739  3.20
4 Mn 0.012 0.024 0.261  3.20
5 Er 0.357 0.714 0.608  -0.24
6 Er 0.643 0.286 0.392  -0.24

---

Material: Na2SbPb2
Method: DFT, GGA-PBE
State: relaxed

Calculated values
ΔE_f (raw) = 83 meV/atom

a b c (Å): 4.405 4.405 8.813
angles (deg): 75.53 75.53 90.00
Positions (direct):
1 Pb 0.750 0.250 0.500
2 Pb 0.250 0.750 0.500
3 Sb 0.000 0.000 0.000
4 Na 0.411 0.411 0.178
5 Na 0.589 0.589 0.822

---

Material: AcCeGaPt
Method: DFT, GGA-PBE
State: relaxed

Calculated values
energy relative to the elements = -61 kJ per mole of atoms

a b c (Å): 5.292 5.292 5.292
angles (deg): 60.00 60.00 60.00
Site moments in Bohr magnetons follow the coordinates.
Positions (direct):
1 Ac 0.500 0.500 0.500  0.00
2 Ga 0.750 0.750 0.750  -0.01
3 Ce 0.000 0.000 0.000  0.67
4 Pt 0.250 0.250 0.250  -0.03

---

Material: Zr5TlSn
Method: DFT, GGA-PBE
State: relaxed

Calculated values
energy relative to the elements = -6 kJ per mole of atoms

a b c (Å): 8.722 8.722 6.974
angles (deg): 59.15 59.15 96.75
Positions (direct):
1 Zr 0.739 0.599 0.171
2 Zr 0.608 0.978 0.130
3 Zr 0.599 0.739 0.671
4 Zr 0.777 0.223 0.250
5 Zr 0.022 0.392 0.370
6 Zr 0.978 0.608 0.630
7 Zr 0.223 0.777 0.750
8 Zr 0.401 0.261 0.329
9 Zr 0.392 0.022 0.870
10 Zr 0.261 0.401 0.829
11 Tl 0.000 0.000 0.000
12 Tl 0.000 0.000 0.500
13 Sn 0.376 0.624 0.250
14 Sn 0.624 0.376 0.750

---

Material: Be2CoAs
Method: DFT, GGA-PBE
State: relaxed

Calculated values
energy relative to the elements = -1 kJ per mole of atoms

a b c (Å): 4.322 4.322 4.322
angles (deg): 133.46 133.45 67.95
Positions (direct):
1 Be 0.000 0.000 0.000
2 Be 0.500 0.500 0.000
3 As 0.250 0.750 0.500
4 Co 0.750 0.250 0.500

---

Material: PtPbI2
Method: DFT, GGA-PBE
State: relaxed

Calculated values
ΔE_f (raw) = 146 meV/atom

a b c (Å): 7.015 7.015 7.972
angles (deg): 63.90 63.90 90.00
Positions (direct):
1 Pb 0.000 0.000 0.000
2 Pb 0.750 0.250 0.500
3 I 0.565 0.125 0.250
4 I 0.185 0.625 0.250
5 I 0.375 0.435 0.750
6 I 0.875 0.815 0.750
7 Pt 0.500 0.500 0.000
8 Pt 0.250 0.750 0.500

---

Material: KSiHg2O4
Method: DFT, GGA-PBE
State: relaxed

Calculated values
ΔE_f (raw) = -1405 meV/atom

a b c (Å): 5.981 5.981 5.558
angles (deg): 122.58 122.58 89.98
Positions (direct):
1 K 0.000 0.000 0.000
2 Si 0.500 0.500 0.000
3 Hg 0.750 0.250 0.500
4 Hg 0.250 0.750 0.500
5 O 0.535 0.535 0.742
6 O 0.465 0.794 0.259
7 O 0.794 0.465 0.259
8 O 0.207 0.207 0.742

---

Material: Nd2Ni3As4Ir
Method: DFT, GGA-PBE
State: relaxed

Calculated values
energy relative to the elements = -76 kJ per mole of atoms

a b c (Å): 4.233 4.233 9.672
angles (deg): 90.00 90.00 90.00
Positions (direct):
1 Nd 0.500 0.000 0.247
2 Nd 0.000 0.500 0.753
3 Ni 0.000 0.000 0.500
4 Ni 0.500 0.000 0.883
5 Ni 0.000 0.500 0.117
6 As 0.500 0.500 0.000
7 As 0.000 0.000 0.000
8 As 0.500 0.000 0.637
9 As 0.000 0.500 0.363
10 Ir 0.500 0.500 0.500

---

Material: SmDy6Tl5
Method: DFT, GGA-PBE
State: relaxed

Calculated values
energy relative to the elements = -26 kJ per mole of atoms

a b c (Å): 5.031 8.782 9.158
angles (deg): 118.65 105.95 90.00
Positions (direct):
1 Tl 0.649 0.149 0.297
2 Tl 0.320 0.320 0.639
3 Tl 0.000 0.500 0.000
4 Tl 0.680 0.680 0.361
5 Tl 0.351 0.851 0.703
6 Sm 0.000 0.000 0.000
7 Dy 0.830 0.565 0.659
8 Dy 0.830 0.094 0.659
9 Dy 0.500 0.725 0.000
10 Dy 0.500 0.275 0.000
11 Dy 0.170 0.906 0.341
12 Dy 0.170 0.435 0.341

---

Material: ZrFe2Tc
Method: DFT, GGA-PBE
State: relaxed

Calculated values
energy relative to the elements = 33 kJ per mole of atoms

a b c (Å): 8.976 8.976 8.976
angles (deg): 17.99 17.99 17.99
Site moments in Bohr magnetons follow the coordinates.
Positions (direct):
1 Fe 0.993 0.993 0.993  2.18
2 Fe 0.507 0.507 0.507  2.18
3 Tc 0.250 0.250 0.250  -0.09
4 Zr 0.750 0.750 0.750  -0.03

---

Material: BaLiAg2
Method: DFT, GGA-PBE
State: relaxed

Calculated values
energy relative to the elements = -8 kJ per mole of atoms

a b c (Å): 5.455 5.455 5.455
angles (deg): 60.00 60.00 60.00
Positions (direct):
1 Ba 0.500 0.500 0.500
2 Ag 0.250 0.250 0.250
3 Ag 0.750 0.750 0.750
4 Li 0.000 0.000 0.000

---

Material: NaS2BrCl
Method: DFT, GGA-PBE
State: relaxed

Calculated values
ΔE_f (raw) = 593 meV/atom

a b c (Å): 5.560 5.560 5.032
angles (deg): 90.00 90.00 90.00
Site moments in Bohr magnetons follow the coordinates.
Positions (direct):
1 Na 0.000 0.000 0.000  0.00
2 S 0.000 0.500 0.000  1.15
3 S 0.500 0.000 0.000  1.15
4 Br 0.500 0.500 0.500  0.65
5 Cl 0.000 0.000 0.500  0.34

---

Material: CsErScS3
Method: DFT, GGA-PBE
State: relaxed

Calculated values
ΔE_f (raw) = -1710 meV/atom

a b c (Å): 4.227 9.259 10.216
angles (deg): 111.68 90.00 90.00
Positions (direct):
1 Cs 0.250 0.224 0.234
2 Cs 0.750 0.776 0.766
3 Er 0.250 0.662 0.131
4 Er 0.750 0.338 0.869
5 Sc 0.250 0.088 0.613
6 Sc 0.750 0.912 0.387
7 S 0.750 0.865 0.136
8 S 0.250 0.135 0.864
9 S 0.250 0.803 0.438
10 S 0.750 0.197 0.562
11 S 0.750 0.480 0.148
12 S 0.250 0.520 0.852

---

Material: SiPBr2
Method: DFT, GGA-PBE
State: relaxed

Calculated values
ΔE_f (raw) = 42 meV/atom

a b c (Å): 8.413 8.413 3.565
angles (deg): 90.54 90.54 23.99
Positions (direct):
1 Br 0.890 0.890 0.015
2 Br 0.610 0.610 0.485
3 P 0.750 0.750 0.750
4 Si 0.250 0.250 0.250

---

Material: La8ErTm2
Method: DFT, GGA-PBE
State: relaxed

Calculated values
energy relative to the elements = 2 kJ per mole of atoms

a b c (Å): 5.205 8.224 9.677
angles (deg): 104.79 105.60 90.00
Positions (direct):
1 La 0.682 0.913 0.364
2 La 0.408 0.546 0.815
3 La 0.137 0.187 0.275
4 La 0.953 0.272 0.905
5 La 0.863 0.813 0.725
6 La 0.592 0.454 0.185
7 La 0.318 0.087 0.636
8 La 0.047 0.728 0.095
9 Er 0.500 0.000 0.000
10 Tm 0.227 0.634 0.453
11 Tm 0.773 0.366 0.547

---

Material: UGa4Hg
Method: DFT, GGA-PBE
State: relaxed

Calculated values
energy relative to the elements = 7 kJ per mole of atoms

a b c (Å): 5.558 5.558 5.558
angles (deg): 60.00 60.00 60.00
Site moments in Bohr magnetons follow the coordinates.
Positions (direct):
1 U 0.000 0.000 0.000  2.60
2 Hg 0.250 0.250 0.250  0.00
3 Ga 0.625 0.625 0.124  0.02
4 Ga 0.625 0.124 0.625  0.02
5 Ga 0.625 0.625 0.625  0.02
6 Ga 0.124 0.625 0.625  0.02

---

Material: Ac2Nd2S7
Method: DFT, GGA-PBE
State: relaxed

Calculated values
ΔE_f (raw) = -1688 meV/atom

a b c (Å): 7.208 6.053 7.208
angles (deg): 90.00 95.17 90.00
Site moments in Bohr magnetons follow the coordinates.
Positions (direct):
1 Ac 0.751 0.500 0.751  0.00
2 Ac 0.249 0.500 0.249  0.00
3 Nd 0.731 0.000 0.269  0.01
4 Nd 0.269 0.000 0.731  0.01
5 S 0.000 0.258 0.500  0.07
6 S 0.500 0.742 0.000  0.07
7 S 0.000 0.742 0.500  0.07
8 S 0.500 0.258 0.000  0.07
9 S 0.000 0.000 0.000  0.00
10 S 0.500 0.756 0.500  0.00
11 S 0.500 0.244 0.500  0.00

---

Material: Pr2PuPaIr2
Method: DFT, GGA-PBE
State: relaxed

Calculated values
energy relative to the elements = -42 kJ per mole of atoms

a b c (Å): 6.968 7.083 8.288
angles (deg): 115.30 114.86 90.00
Site moments in Bohr magnetons follow the coordinates.
Positions (direct):
1 Pr 0.423 0.185 0.371  0.04
2 Pr 0.577 0.815 0.629  0.04
3 Pr 0.053 0.315 0.629  0.04
4 Pr 0.947 0.685 0.371  0.04
5 Pu 0.000 0.750 0.000  5.07
6 Pu 0.000 0.250 0.000  5.07
7 Pa 0.500 0.750 0.000  0.22
8 Pa 0.500 0.250 0.000  0.22
9 Ir 0.828 0.094 0.187  -0.07
10 Ir 0.360 0.594 0.187  -0.07
11 Ir 0.640 0.406 0.813  -0.07
12 Ir 0.172 0.906 0.813  -0.07

---

The evaluated volume for the records listed, in turn: 413.2, 283.6, 157.1, 160.0, 104.8, 334.9, 41.8, 307.1, 128.9, 173.3, 337.3, 60.2, 114.8, 155.5, 371.6, 102.6, 384.7, 121.4, 313.2, 327.4 Å³ per cell.